Entry 1:
PBE-GGA CsZr3Ni, relaxed; formation enthalpy at 0 K = 3.54 eV/f.u.
1.0
5.1052 0.0000 0.0000
0.0000 5.1052 0.0000
0.0000 0.0000 5.1052
Zr Ni Cs
3 1 1
direct
0.0000 0.5000 0.0000 Zr
0.0000 0.0000 0.5000 Zr
0.5000 0.0000 0.0000 Zr
0.0000 0.0000 0.0000 Ni
0.5000 0.5000 0.5000 Cs

---

Entry 2:
PBE-GGA CsZrNi2, relaxed; energy above the lowest structure with this stoichiometry = 0.0 meV per atom; formation enthalpy at 0 K = 3.35 eV/f.u.
1.0
-1.4730 4.7007 -5.6724
4.5341 -3.9808 -4.4763
-1.3818 -1.7973 -6.1058
Ni Cs Zr
4 2 2
direct
0.3750 0.4471 0.7500 Ni
0.1971 0.6250 0.2500 Ni
0.5529 0.1250 0.2500 Ni
0.8750 0.8029 0.7500 Ni
0.0000 0.0000 0.0000 Cs
0.7500 0.2500 0.5000 Cs
0.5000 0.5000 0.0000 Zr
0.2500 0.7500 0.5000 Zr

---

Entry 3:
PBE-GGA CsNp4, relaxed; formation enthalpy at 0 K = 11.68 eV/f.u.
1.0
-1.0308 5.4512 0.7154
-3.4398 -1.2073 4.2426
4.2889 0.3419 3.5747
Cs Np
1 4
direct
0.5000 0.5000 0.5000 Cs
0.0000 0.5000 0.5000 Np
0.0000 0.0000 0.0000 Np
0.5000 0.5000 0.0000 Np
0.5000 0.0000 0.5000 Np

---

Entry 4:
PBE-GGA CsNp2O7, relaxed; ΔE_f (raw) = -2.55 eV per atom
1.0
4.1954 0.0000 0.0000
0.0000 6.1217 -3.4315
0.0000 -1.3244 8.4644
Np O Cs
2 7 1
direct
0.5000 0.3050 0.6115 Np
0.5000 0.6950 0.3885 Np
0.5000 0.9987 0.3483 O
0.0000 0.6924 0.3885 O
0.5000 0.5896 0.8675 O
0.5000 0.5000 0.5000 O
0.0000 0.3076 0.6115 O
0.5000 0.0013 0.6517 O
0.5000 0.4104 0.1325 O
0.0000 0.0000 0.0000 Cs

---

no.,calculated total energy (eV/atom)
1,-5.747
2,-4.403
3,-8.187
4,-8.695